# 1
A crystal of Ba5Sb4 relaxed with PBEsol. Source: Alexandria via LeMat-Bulk, functional meta-GGA SCAN.

Results
Total moment in μB/cell: 0.000
Electronic total energy in eV/atom: -39.719
Space-group type: Cmce, No. 64

Lattice parameters (Å, degrees): 9.907 9.907 9.038 90.00 90.00 54.01
Fractional positions:
Ba: 0.000 0.000 0.000
Ba: 0.024 0.685 0.666
Ba: 0.185 0.524 0.166
Ba: 0.315 0.976 0.666
Ba: 0.476 0.815 0.166
Ba: 0.500 0.500 0.500
Ba: 0.524 0.185 0.834
Ba: 0.685 0.024 0.334
Ba: 0.815 0.476 0.834
Ba: 0.976 0.315 0.334
Sb: 0.114 0.886 0.387
Sb: 0.199 0.199 0.000
Sb: 0.301 0.301 0.500
Sb: 0.386 0.614 0.887
Sb: 0.614 0.386 0.113
Sb: 0.699 0.699 0.500
Sb: 0.801 0.801 0.000
Sb: 0.886 0.114 0.613


# 2
A crystal of Rb2TlAu2 relaxed with PBEsol. Source: Alexandria via LeMat-Bulk, functional meta-GGA SCAN.

Results
Total moment in μB/cell: 0.000
Formation energy in meV per atom: -282
Electronic total energy in eV/atom: -50.712
Space-group type: P4/mbm, No. 127

Lattice parameters (Å, degrees): 7.691 7.691 5.210 90.00 90.00 90.00
Fractional positions:
Rb: 0.171 0.329 0.000
Rb: 0.329 0.829 0.000
Rb: 0.671 0.171 0.000
Rb: 0.829 0.671 0.000
Tl: 0.000 0.000 0.500
Tl: 0.500 0.500 0.500
Au: 0.129 0.629 0.500
Au: 0.371 0.129 0.500
Au: 0.629 0.871 0.500
Au: 0.871 0.371 0.500